# Cu2ReSi PBE relaxed
# Mass density ... 10590 kg/m³
# Magnetic moment ... 0.000 μB per formula unit
# Raw total energy ... -50.2 eV for the cell shown
# E_form (uncorrected) ... 0.239 eV/atom
data_Cu2ReSi
_space_group_name_H-M_alt 'C m m 2'
_space_group_IT_number 35
_cell_length_a 3.078
_cell_length_b 4.343
_cell_length_c 8.010
_cell_angle_alpha 90.00
_cell_angle_beta 90.00
_cell_angle_gamma 90.00
loop_
_space_group_symop_operation_xyz
'x,y,z'
'-x,-y,z'
'-x,y,z'
'x,-y,z'
'x+1/2,y+1/2,z'
'-x+1/2,-y+1/2,z'
'-x+1/2,y+1/2,z'
'x+1/2,-y+1/2,z'
loop_
_atom_site_label
_atom_site_fract_x
_atom_site_fract_y
_atom_site_fract_z
Cu1 0.000 0.000 0.000
Cu2 0.000 0.500 0.248
Re1 0.000 0.000 0.517
Si1 0.000 0.500 0.762